# 1
FeNi2Mo: relaxed, GGA-PBE.

As for the energy of formation: 0.008 eV per atom. The calculation puts the energy above the most stable polymorph in this dataset at 16.8 meV/atom. Its space-group type is I-4m2, No. 119.

a = 4.426 Å, b = 4.426 Å, c = 4.426 Å
α = 131.15°, β = 131.15°, γ = 71.57°
Sites, in units of the cell vectors:
Fe: 0.000 0.000 0.000
Ni: 0.500 0.500 0.000
Ni: 0.750 0.250 0.500
Mo: 0.250 0.750 0.500

---

# 2
Fe3Ni6Mo: relaxed, GGA-PBE.

As for the energy of formation: 0.068 eV per atom. Its space-group type is P2_1/m, No. 11.

a = 9.656 Å, b = 2.515 Å, c = 10.299 Å
α = 90.00°, β = 109.40°, γ = 90.00°
Sites, in units of the cell vectors:
Fe: 0.009 0.250 0.392
Fe: 0.394 0.250 0.005
Fe: 0.466 0.250 0.593
Fe: 0.534 0.750 0.407
Fe: 0.606 0.750 0.995
Fe: 0.991 0.750 0.608
Ni: 0.168 0.250 0.804
Ni: 0.181 0.750 0.017
Ni: 0.216 0.250 0.592
Ni: 0.254 0.750 0.394
Ni: 0.345 0.250 0.225
Ni: 0.395 0.750 0.784
Ni: 0.605 0.250 0.216
Ni: 0.655 0.750 0.775
Ni: 0.746 0.250 0.606
Ni: 0.784 0.750 0.408
Ni: 0.819 0.250 0.983
Ni: 0.832 0.750 0.196
Mo: 0.064 0.250 0.171
Mo: 0.936 0.750 0.829